[1]
# ThNb

ThNb after structural relaxation (GGA-PBE, the Open Quantum Materials Database).

abc: 4.457 4.457 4.457
angles: 60.00 60.00 60.00
Atoms (fractional coordinates):
Th (0.250, 0.250, 0.250)
Nb (0.000, 0.000, 0.000)

E_form, eV/atom: 2.007
Polymorph energy (0 for the lowest one), eV/atom: 1.475
Total DFT energy (no corrections), eV per cell: -13.49
Symmetry: F-43m, No. 216
Size of the total moment, μB per cell: 0.0

***

[2]
# Y4Zn5Ge6

Y4Zn5Ge6 after structural relaxation (GGA-PBE, the Open Quantum Materials Database).

abc: 9.558 9.558 15.338
angles: 90.00 90.00 154.33
Atoms (fractional coordinates):
Y (0.168, 0.832, 0.959)
Y (0.018, 0.982, 0.763)
Y (0.832, 0.168, 0.459)
Y (0.176, 0.824, 0.318)
Y (0.982, 0.018, 0.263)
Y (0.968, 0.032, 0.000)
Y (0.824, 0.176, 0.818)
Y (0.032, 0.968, 0.500)
Ge (0.440, 0.560, 0.409)
Ge (0.433, 0.567, 0.134)
Ge (0.560, 0.440, 0.909)
Ge (0.887, 0.113, 0.645)
Ge (0.777, 0.223, 0.277)
Ge (0.113, 0.887, 0.145)
Ge (0.223, 0.777, 0.777)
Ge (0.772, 0.228, 0.998)
Ge (0.228, 0.772, 0.498)
Ge (0.431, 0.569, 0.857)
Ge (0.569, 0.431, 0.357)
Ge (0.567, 0.433, 0.634)
Zn (0.435, 0.565, 0.579)
Zn (0.700, 0.300, 0.139)
Zn (0.565, 0.435, 0.079)
Zn (0.650, 0.350, 0.782)
Zn (0.350, 0.650, 0.282)
Zn (0.656, 0.344, 0.490)
Zn (0.344, 0.656, 0.990)
Zn (0.300, 0.700, 0.639)
Zn (0.152, 0.848, 0.636)
Zn (0.848, 0.152, 0.136)

Total DFT energy (no corrections), eV per cell: -136.77
Symmetry: Cmc2_1, No. 36
Size of the total moment, μB per cell: 0.0

***

[3]
# Cs2ReSnS6

Cs2ReSnS6 after structural relaxation (GGA-PBE, the Open Quantum Materials Database).

abc: 7.224 7.224 7.224
angles: 60.00 60.00 60.00
Atoms (fractional coordinates):
Re (0.000, 0.000, 0.000)
Cs (0.250, 0.250, 0.250)
Cs (0.750, 0.750, 0.750)
S (0.231, 0.769, 0.769)
S (0.231, 0.231, 0.769)
S (0.769, 0.769, 0.231)
S (0.769, 0.231, 0.769)
S (0.231, 0.769, 0.231)
S (0.769, 0.231, 0.231)
Sn (0.500, 0.500, 0.500)

Total DFT energy (no corrections), eV per cell: -46.09
Symmetry: Fm-3m, No. 225
Size of the total moment, μB per cell: 0.0